A geometry-optimized YGeIr2 structure. Source: Alexandria via LeMat-Bulk, functional PBE-GGA.

The structure in extended XYZ format:
```
8
Lattice="3.962 0.000 0.000 0.000 3.962 0.000 0.000 0.000 9.648" Properties=species:S:1:pos:R:3 pbc="T T T"
Y 0.991 0.991 1.971
Y 2.972 2.972 7.677
Ge 0.991 0.991 6.319
Ge 2.972 2.972 3.329
Ir 0.991 0.991 8.735
Ir 0.991 2.972 4.824
Ir 2.972 0.991 4.824
Ir 2.972 2.972 0.913
```

- Total magnetic moment: 0.0 Bohr magnetons per cell
- Fermi-level density of states: 0.81 states/eV/atom
- Final energy: -0.284 hartree per atom

=====

A geometry-optimized YGe2Ir structure. Source: Alexandria via LeMat-Bulk, functional PBE-GGA.

The structure in extended XYZ format:
```
16
Lattice="4.411 0.000 0.000 0.000 4.411 0.000 0.000 0.000 17.579" Properties=species:S:1:pos:R:3 pbc="T T T"
Y 0.000 0.000 0.000
Y 0.000 2.206 4.395
Y 2.206 0.000 13.184
Y 2.206 2.206 8.789
Ge 0.633 1.103 10.987
Ge 1.103 2.839 15.382
Ge 1.103 3.778 6.592
Ge 1.572 1.103 2.197
Ge 2.839 3.308 2.197
Ge 3.308 0.633 6.592
Ge 3.308 1.572 15.382
Ge 3.778 3.308 10.987
Ir 0.000 0.000 8.789
Ir 0.000 2.206 13.184
Ir 2.206 0.000 4.395
Ir 2.206 2.206 0.000
```

- Total magnetic moment: 0.0 Bohr magnetons per cell
- Fermi-level density of states: 0.64 states/eV/atom
- Final energy: -0.238 hartree per atom

=====

Number 1: V 18.935 Å³ per atom, energy of formation from the pure elements -2.1 eV per formula unit. Number 2: V 21.379 Å³ per atom, energy of formation from the pure elements -1.3 eV per formula unit.